1.
First-principles (PBE) data for a relaxed structure of SrCrPd2, as listed in Alexandria.

a b c (Å): 6.773 6.773 6.773
angles (deg): 90.00 90.00 90.00
Element x y z (fractional)
Sr 0.000 0.000 0.000
Sr 0.000 0.500 0.500
Sr 0.500 0.000 0.500
Sr 0.500 0.500 0.000
Cr 0.000 0.000 0.500
Cr 0.000 0.500 0.000
Cr 0.500 0.000 0.000
Cr 0.500 0.500 0.500
Pd 0.250 0.250 0.250
Pd 0.250 0.250 0.750
Pd 0.250 0.750 0.250
Pd 0.250 0.750 0.750
Pd 0.750 0.250 0.250
Pd 0.750 0.250 0.750
Pd 0.750 0.750 0.250
Pd 0.750 0.750 0.750

Values from the calculation:
Its space group is Fm-3m (225). As for the relative energy among the computed polymorphs: 299 meV per atom. The value obtained for the formation energy is 0.42 eV/atom.

2.
First-principles (PBE) data for a relaxed structure of Sr2CrPd, as listed in Alexandria.

a b c (Å): 7.724 7.724 7.724
angles (deg): 90.00 90.00 90.00
Element x y z (fractional)
Sr 0.250 0.250 0.250
Sr 0.250 0.250 0.750
Sr 0.250 0.750 0.250
Sr 0.250 0.750 0.750
Sr 0.750 0.250 0.250
Sr 0.750 0.250 0.750
Sr 0.750 0.750 0.250
Sr 0.750 0.750 0.750
Cr 0.000 0.000 0.000
Cr 0.000 0.500 0.500
Cr 0.500 0.000 0.500
Cr 0.500 0.500 0.000
Pd 0.000 0.000 0.500
Pd 0.000 0.500 0.000
Pd 0.500 0.000 0.000
Pd 0.500 0.500 0.500

Values from the calculation:
Its space group is Fm-3m (225). As for the relative energy among the computed polymorphs: 0 meV per atom. The value obtained for the formation energy is 0.15 eV/atom.

3.
First-principles (PBE) data for a relaxed structure of Sr2Cr2Pd, as listed in Alexandria.

a b c (Å): 6.228 6.228 6.956
angles (deg): 90.00 90.00 90.00
Element x y z (fractional)
Sr 0.000 0.500 0.250
Sr 0.000 0.500 0.750
Sr 0.500 0.000 0.250
Sr 0.500 0.000 0.750
Cr 0.000 0.000 0.126
Cr 0.000 0.000 0.874
Cr 0.500 0.500 0.374
Cr 0.500 0.500 0.626
Pd 0.000 0.000 0.500
Pd 0.500 0.500 0.000

Values from the calculation:
Its space group is I4/mmm (139). As for the relative energy among the computed polymorphs: 171 meV per atom. The value obtained for the formation energy is 0.71 eV/atom.

4.
First-principles (PBE) data for a relaxed structure of Sr2CrPd2, as listed in Alexandria.

a b c (Å): 7.452 7.452 4.534
angles (deg): 90.00 90.00 90.00
Element x y z (fractional)
Sr 0.173 0.327 0.000
Sr 0.327 0.827 0.000
Sr 0.673 0.173 0.000
Sr 0.827 0.673 0.000
Cr 0.000 0.000 0.500
Cr 0.500 0.500 0.500
Pd 0.133 0.633 0.500
Pd 0.367 0.133 0.500
Pd 0.633 0.867 0.500
Pd 0.867 0.367 0.500

Values from the calculation:
Its space group is P4/mbm (127). The value obtained for the formation energy is -0.18 eV/atom.

5.
First-principles (PBE) data for a relaxed structure of SrCrPd3, as listed in Alexandria.

a b c (Å): 5.134 5.134 5.134
angles (deg): 90.00 90.00 90.00
Element x y z (fractional)
Sr 0.000 0.000 0.000
Cr 0.500 0.500 0.500
Pd 0.000 0.000 0.500
Pd 0.000 0.500 0.000
Pd 0.500 0.000 0.000

Values from the calculation:
Its space group is Pm-3m (221). As for the relative energy among the computed polymorphs: 960 meV per atom. The value obtained for the formation energy is 1.16 eV/atom.

6.
First-principles (PBE) data for a relaxed structure of SrCrPd2, as listed in Alexandria.

a b c (Å): 6.846 6.846 6.846
angles (deg): 90.00 90.00 90.00
Element x y z (fractional)
Sr 0.000 0.000 0.000
Sr 0.000 0.500 0.500
Sr 0.500 0.000 0.500
Sr 0.500 0.500 0.000
Cr 0.250 0.250 0.250
Cr 0.250 0.750 0.750
Cr 0.750 0.250 0.750
Cr 0.750 0.750 0.250
Pd 0.000 0.000 0.500
Pd 0.000 0.500 0.000
Pd 0.250 0.250 0.750
Pd 0.250 0.750 0.250
Pd 0.500 0.000 0.000
Pd 0.500 0.500 0.500
Pd 0.750 0.250 0.250
Pd 0.750 0.750 0.750

Values from the calculation:
Its space group is F-43m (216). As for the relative energy among the computed polymorphs: 0 meV per atom. The value obtained for the formation energy is 0.12 eV/atom.

7.
First-principles (PBE) data for a relaxed structure of SrCrPd3, as listed in Alexandria.

a b c (Å): 4.732 4.732 4.732
angles (deg): 90.00 90.00 90.00
Element x y z (fractional)
Sr 0.000 0.000 0.000
Cr 0.500 0.500 0.500
Pd 0.000 0.500 0.500
Pd 0.500 0.000 0.500
Pd 0.500 0.500 0.000

Values from the calculation:
Its space group is Pm-3m (221). As for the relative energy among the computed polymorphs: 0 meV per atom. The value obtained for the formation energy is 0.20 eV/atom.

8.
First-principles (PBE) data for a relaxed structure of Sr2CrPd, as listed in Alexandria.

a b c (Å): 8.596 8.596 6.721
angles (deg): 90.00 90.00 90.00
Element x y z (fractional)
Sr 0.209 0.250 0.125
Sr 0.250 0.709 0.375
Sr 0.250 0.791 0.875
Sr 0.291 0.250 0.625
Sr 0.709 0.750 0.625
Sr 0.750 0.209 0.875
Sr 0.750 0.291 0.375
Sr 0.791 0.750 0.125
Cr 0.000 0.000 0.500
Cr 0.000 0.500 0.750
Cr 0.500 0.000 0.250
Cr 0.500 0.500 0.000
Pd 0.000 0.000 0.000
Pd 0.000 0.500 0.250
Pd 0.500 0.000 0.750
Pd 0.500 0.500 0.500

Values from the calculation:
Its space group is I-42d (122). As for the relative energy among the computed polymorphs: 197 meV per atom. The value obtained for the formation energy is 0.35 eV/atom.

9.
First-principles (PBE) data for a relaxed structure of Sr3CrPd, as listed in Alexandria.

a b c (Å): 5.880 5.880 5.880
angles (deg): 90.00 90.00 90.00
Element x y z (fractional)
Sr 0.000 0.000 0.500
Sr 0.000 0.500 0.000
Sr 0.500 0.000 0.000
Cr 0.500 0.500 0.500
Pd 0.000 0.000 0.000

Values from the calculation:
Its space group is Pm-3m (221). As for the relative energy among the computed polymorphs: 0 meV per atom. The value obtained for the formation energy is 0.17 eV/atom.

10.
First-principles (PBE) data for a relaxed structure of Sr2Cr2Pd, as listed in Alexandria.

a b c (Å): 6.946 6.946 5.028
angles (deg): 90.00 90.00 90.00
Element x y z (fractional)
Sr 0.192 0.308 0.000
Sr 0.308 0.808 0.000
Sr 0.692 0.192 0.000
Sr 0.808 0.692 0.000
Cr 0.092 0.592 0.500
Cr 0.408 0.092 0.500
Cr 0.592 0.908 0.500
Cr 0.908 0.408 0.500
Pd 0.000 0.000 0.500
Pd 0.500 0.500 0.500

Values from the calculation:
Its space group is P4/mbm (127). As for the relative energy among the computed polymorphs: 0 meV per atom. The value obtained for the formation energy is 0.54 eV/atom.

11.
First-principles (PBE) data for a relaxed structure of SrCrTc2Pd, as listed in Alexandria.

a b c (Å): 4.679 4.679 4.453
angles (deg): 90.00 90.00 90.00
Element x y z (fractional)
Sr 0.000 0.000 0.000
Cr 0.000 0.000 0.500
Tc 0.000 0.500 0.000
Tc 0.500 0.000 0.000
Pd 0.500 0.500 0.500

Values from the calculation:
Its space group is P4/mmm (123). The value obtained for the formation energy is 2.88 eV/atom.

12.
First-principles (PBE) data for a relaxed structure of Ta2CrPd, as listed in Alexandria.

a b c (Å): 3.088 3.088 6.668
angles (deg): 90.00 90.00 90.00
Element x y z (fractional)
Ta 0.000 0.000 0.223
Ta 0.000 0.000 0.777
Cr 0.500 0.500 0.000
Pd 0.500 0.500 0.500

Values from the calculation:
Its space group is P4/mmm (123). The value obtained for the formation energy is -0.13 eV/atom.